Record 1
Be2Au2Br: relaxed, PBE.

**Space-group type**: I4/mmm
**N(E_F)**: 0.415 states/eV per atom
**Raw total energy**: -2.844 eV per atom
**Crystal system**: tetragonal
**E_form (uncorrected)**: 292 meV/atom

```
Be2Au2Br
1.0
-1.980 1.980 5.515
1.980 -1.980 5.515
1.980 1.980 -5.515
Be Au Br
2 2 1
Cartesian
0.000 0.000 1.228
0.000 0.000 9.803
1.980 0.000 2.758
0.000 1.980 2.758
0.000 0.000 5.515
```

***

Record 2
La3TbN4: relaxed, PBE.

**Offset from the most stable computed form**: 0.022 eV/atom
**Space-group type**: Pm-3m
**N(E_F)**: 0.190 states/eV per atom
**Raw total energy**: -7.945 eV per atom
**Crystal system**: cubic
**E_form (uncorrected)**: -1356 meV/atom

```
La3TbN4
1.0
5.224 0.000 0.000
0.000 5.224 0.000
0.000 0.000 5.224
La Tb N
3 1 4
Cartesian
0.000 0.000 2.612
0.000 2.612 0.000
2.612 0.000 0.000
2.612 2.612 2.612
0.000 0.000 0.000
0.000 2.612 2.612
2.612 0.000 2.612
2.612 2.612 0.000
```

***

Record 3
Pm4Tl2Hg: relaxed, PBE.

**Offset from the most stable computed form**: 0.231 eV/atom
**Energy relative to the elements**: -0.054 eV per atom
**Space-group type**: I4/mmm
**N(E_F)**: 1.602 states/eV per atom
**Raw total energy**: -3.487 eV per atom
**Crystal system**: tetragonal

```
Pm4Tl2Hg
1.0
-2.943 2.943 6.667
2.943 -2.943 6.667
2.943 2.943 -6.667
Pm Tl Hg
4 2 1
Cartesian
2.943 0.000 0.000
2.943 0.000 3.334
0.000 2.943 0.000
0.000 2.943 3.334
0.000 0.000 1.709
0.000 0.000 11.625
0.000 0.000 6.667
```

***

Record 4
CaCoHg2: relaxed, PBE.

**Energy relative to the elements**: 0.256 eV per atom
**Space-group type**: I-42d
**N(E_F)**: 0.918 states/eV per atom
**Raw total energy**: -2.172 eV per atom
**Crystal system**: tetragonal

```
CaCoHg2
1.0
-2.328 2.328 9.357
2.328 -2.328 9.357
2.328 2.328 -9.357
Ca Co Hg
2 2 4
Cartesian
0.000 0.000 0.000
0.000 2.328 4.678
2.328 0.000 4.678
0.000 0.000 9.357
1.164 -0.828 7.018
1.500 1.164 2.339
1.164 3.155 -2.339
0.828 1.164 11.696
```

***

Record 5
Er3Sc2Hg2: relaxed, PBE.

**Offset from the most stable computed form**: 0.050 eV/atom
**Energy relative to the elements**: -0.152 eV per atom
**Space-group type**: Cmmm
**N(E_F)**: 1.020 states/eV per atom
**Raw total energy**: -4.002 eV per atom
**Crystal system**: orthorhombic

```
Er3Sc2Hg2
1.0
2.379 -10.963 0.000
2.379 10.963 0.000
0.000 0.000 3.417
Er Sc Hg
3 2 2
Cartesian
0.000 0.000 0.000
2.379 7.658 0.000
2.379 -7.658 0.000
2.379 4.683 1.708
2.379 -4.683 1.708
2.379 1.624 1.708
2.379 -1.624 1.708
```

***

Record 6
AgPPdCl2: relaxed, PBE.

**Offset from the most stable computed form**: 0.465 eV/atom
**Space-group type**: P4/mmm
**N(E_F)**: 1.154 states/eV per atom
**Raw total energy**: -2.719 eV per atom
**Crystal system**: tetragonal
**E_form (uncorrected)**: 710 meV/atom

```
AgPPdCl2
1.0
4.958 0.000 0.000
0.000 4.958 0.000
0.000 0.000 4.913
Ag P Pd Cl
1 1 1 2
Cartesian
0.000 0.000 0.000
0.000 0.000 2.457
2.479 2.479 2.457
0.000 2.479 0.000
2.479 0.000 0.000
```

***

Record 7
TeAuI2N: relaxed, PBE.

**Offset from the most stable computed form**: 0.781 eV/atom
**Space-group type**: P4/mmm
**N(E_F)**: 2.431 states/eV per atom
**Raw total energy**: -1.871 eV per atom
**Crystal system**: tetragonal
**E_form (uncorrected)**: 1697 meV/atom

```
TeAuI2N
1.0
5.525 0.000 0.000
0.000 5.525 0.000
0.000 0.000 5.548
Te Au I N
1 1 2 1
Cartesian
0.000 0.000 0.000
0.000 0.000 2.774
0.000 2.763 2.774
2.763 0.000 2.774
2.763 2.763 0.000
```

***

Record 8
Tm5ScTe2: relaxed, PBE.

**Space-group type**: Immm
**N(E_F)**: 1.045 states/eV per atom
**Raw total energy**: -4.773 eV per atom
**Crystal system**: orthorhombic
**E_form (uncorrected)**: -402 meV/atom

```
Tm5ScTe2
1.0
-1.894 5.040 5.872
1.894 -5.040 5.872
1.894 5.040 -5.872
Tm Sc Te
5 1 2
Cartesian
0.000 0.000 0.000
1.894 2.131 -1.649
1.894 2.131 1.649
0.000 2.910 4.222
0.000 2.910 7.521
0.000 5.040 0.000
0.000 0.000 3.213
0.000 0.000 8.531
```

***

| no. | size of the total moment (Bohr magnetons per cell) |
| --- | --- |
| 1 | 0.0 |
| 2 | 0.0 |
| 3 | 0.0 |
| 4 | 2.5 |
| 5 | 0.0 |
| 6 | 1.2 |
| 7 | 0.0 |
| 8 | 0.0 |